Entry 1:
Nd4Tm5Tl: optimized geometry, PBE.

As for the magnetization: 0.000 μB/atom. The volume is 332 Å³ per cell. The value obtained for the formation energy is 0.0908 eV per atom.

abc: 5.7792 8.1148 8.1148
angles: 82.72 69.14 69.14
Closest atoms and distances in Å follow each position.
Sites, in units of the cell vectors:
1 Nd 0.4611 0.3134 0.6867  7 Tm 3.39-3.79, 1 Tl 3.73
2 Nd 0.7744 0.6867 0.6866  7 Tm 3.39-3.79, 1 Tl 3.73
3 Nd 0.1477 0.3133 0.3134  7 Tm 3.39-3.79, 1 Tl 3.73
4 Nd 0.4611 0.6866 0.3133  7 Tm 3.39-3.79, 1 Tl 3.73
5 Tm 0.7721 0.3678 0.0000  1 Tl 3.07, 1 Tm 3.26, 2 Nd 3.39
6 Tm 0.1399 0.0000 0.6322  1 Tl 3.07, 1 Tm 3.26, 2 Nd 3.39
7 Tm 0.7721 0.0000 0.3678  1 Tl 3.07, 1 Tm 3.26, 2 Nd 3.39
8 Tm 0.1399 0.6322 0.0000  1 Tl 3.07, 1 Tm 3.26, 2 Nd 3.39
9 Tm 0.6627 0.0000 0.0000  2 Tl 2.79-2.99
10 Tl 0.1793 0.0000 0.0000  6 Tm 2.79-3.07



Entry 2:
LiHoGaPt2: optimized geometry, PBE.

As for the magnetization: 0.000 μB/atom. The volume is 90 Å³ per cell. The value obtained for the formation energy is -0.9479 eV per atom.

abc: 3.7512 3.7512 6.9079
angles: 105.75 105.75 90.00
Closest atoms and distances in Å follow each position.
Sites, in units of the cell vectors:
1 Li 0.2500 0.7500 0.5000  4 Pt 2.61, 4 Ga 2.65
2 Ho 0.0000 0.0000 0.0000  8 Pt 2.99
3 Ga 0.7500 0.2500 0.5000  4 Pt 2.61, 4 Li 2.65
4 Pt 0.6083 0.6083 0.2165  2 Li 2.61, 2 Ga 2.61, 1 Pt 2.76
5 Pt 0.3917 0.3917 0.7835  2 Li 2.61, 2 Ga 2.61, 1 Pt 2.76



Entry 3:
EuLuSnBi: optimized geometry, PBE.

As for the magnetization: 1.744 μB/atom. The volume is 117 Å³ per cell. The value obtained for the formation energy is -0.5143 eV per atom.

abc: 5.4951 5.4951 5.4951
angles: 60.00 60.00 60.00
Closest atoms and distances in Å follow each position.
Sites, in units of the cell vectors:
1 Eu 0.0000 0.0000 0.0000  4 Bi 3.37, 4 Sn 3.37
2 Lu 0.5000 0.5000 0.5000  4 Bi 3.37, 4 Sn 3.37
3 Bi 0.7500 0.7500 0.7500  4 Eu 3.37, 4 Lu 3.37
4 Sn 0.2500 0.2500 0.2500  4 Lu 3.37, 4 Eu 3.37



Entry 4:
Tb2Pm2Y7: optimized geometry, PBE.

As for the magnetization: 0.000 μB/atom. The volume is 366 Å³ per cell. The value obtained for the formation energy is 0.1056 eV per atom.

abc: 8.7594 6.5379 6.5379
angles: 93.54 81.83 81.83
Closest atoms and distances in Å follow each position.
Sites, in units of the cell vectors:
1 Tb 0.8551 0.3952 0.3952  8 Y 3.43-3.52, 1 Tb 3.46, 2 Pm 3.49
2 Tb 0.1449 0.6048 0.6048  8 Y 3.43-3.52, 1 Tb 3.46, 2 Pm 3.49
3 Pm 0.5000 0.3232 0.6768  1 Pm 3.37, 8 Y 3.38-3.66, 2 Tb 3.49
4 Pm 0.5000 0.6768 0.3232  1 Pm 3.37, 8 Y 3.38-3.66, 2 Tb 3.49
5 Y 0.2066 0.0809 0.4448  2 Pm 3.38-3.66, 3 Tb 3.43-3.52, 4 Y 3.47-3.76
6 Y 0.7934 0.5552 0.9191  2 Pm 3.38-3.66, 3 Tb 3.43-3.52, 4 Y 3.47-3.76
7 Y 0.7934 0.9191 0.5552  2 Pm 3.38-3.66, 3 Tb 3.43-3.52, 4 Y 3.47-3.76
8 Y 0.2066 0.4448 0.0809  2 Pm 3.38-3.66, 3 Tb 3.43-3.52, 4 Y 3.47-3.76
9 Y 0.0000 0.0000 0.0000  2 Tb 3.50, 10 Y 3.52-3.92
10 Y 0.4054 0.8511 0.8511  6 Y 3.42-3.76, 1 Tb 3.49, 4 Pm 3.51-3.52
11 Y 0.5946 0.1489 0.1489  6 Y 3.42-3.76, 1 Tb 3.49, 4 Pm 3.51-3.52



Entry 5:
Ce2GaCo2: optimized geometry, PBE.

As for the magnetization: 0.062 μB/atom. The volume is 185 Å³ per cell. The value obtained for the formation energy is -0.2912 eV per atom.

abc: 5.4342 5.3063 6.9426
angles: 112.47 90.00 90.00
Closest atoms and distances in Å follow each position.
Sites, in units of the cell vectors:
1 Ce 0.7500 0.4201 0.8403  6 Co 3.02-3.11, 4 Ga 3.15, 2 Ce 3.26
2 Ce 0.7500 0.7723 0.5446  2 Co 2.29
3 Ce 0.2500 0.5799 0.1597  6 Co 3.02-3.11, 4 Ga 3.15, 2 Ce 3.26
4 Ce 0.2500 0.2277 0.4554  2 Co 2.29
5 Ga 0.0000 0.0000 0.0000  4 Co 2.50, 2 Ga 2.72
6 Ga 0.5000 0.0000 0.0000  4 Co 2.50, 2 Ga 2.72
7 Co 0.7500 0.3708 0.2591  1 Ce 2.29, 2 Ga 2.50, 1 Co 2.56
8 Co 0.2500 0.1117 0.7409  1 Ce 2.29, 2 Ga 2.50, 1 Co 2.56
9 Co 0.2500 0.6292 0.7409  1 Ce 2.29, 2 Ga 2.50, 1 Co 2.56
10 Co 0.7500 0.8883 0.2591  1 Ce 2.29, 2 Ga 2.50, 1 Co 2.56



Entry 6:
CuSiSe2: optimized geometry, PBE.

As for the magnetization: 0.000 μB/atom. The volume is 71 Å³ per cell. The final energy comes out at -3.525 eV per atom.

abc: 4.6521 4.6521 4.6521
angles: 60.00 60.00 60.00
Closest atoms and distances in Å follow each position.
Sites, in units of the cell vectors:
1 Cu 0.5000 0.5000 0.5000  4 Se 2.85, 4 Si 2.85
2 Se 0.0000 0.0000 0.0000  4 Si 2.85, 4 Se 2.85
3 Se 0.2500 0.2500 0.2500  4 Se 2.85, 4 Cu 2.85
4 Si 0.7500 0.7500 0.7500  4 Se 2.85, 4 Cu 2.85



Entry 7:
LiY2CoH: optimized geometry, PBE.

As for the magnetization: 0.020 μB/atom. The volume is 85 Å³ per cell. The final energy comes out at -5.219 eV per atom.

abc: 4.9141 4.9141 3.5171
angles: 90.00 90.00 90.00
Closest atoms and distances in Å follow each position.
Sites, in units of the cell vectors:
1 Y 0.0000 0.5000 0.0000  2 H 2.46
2 Y 0.5000 0.0000 0.0000  2 H 2.46
3 H 0.0000 0.0000 0.0000  2 Co 1.76
4 Co 0.0000 0.0000 0.5000  2 H 1.76
5 Li 0.5000 0.5000 0.5000  8 Y 3.02



Entry 8:
TbSc4As5: optimized geometry, PBE.

As for the magnetization: 0.000 μB/atom. The volume is 216 Å³ per cell. The value obtained for the formation energy is -1.3912 eV per atom.

abc: 3.9315 5.5831 10.3972
angles: 105.57 100.90 90.00
Closest atoms and distances in Å follow each position.
Sites, in units of the cell vectors:
1 Tb 0.0000 0.0000 0.0000  6 As 2.79-2.87
2 Sc 0.3990 0.3990 0.7981  6 As 2.76-2.79
3 Sc 0.7971 0.7971 0.5943  6 As 2.73-2.79
4 Sc 0.2029 0.2029 0.4057  6 As 2.73-2.79
5 Sc 0.6010 0.6010 0.2019  6 As 2.76-2.79
6 As 0.6063 0.1063 0.2125  4 Sc 2.73-2.79, 2 Tb 2.87
7 As 0.8007 0.3007 0.6015  6 Sc 2.75-2.79
8 As 0.1993 0.6993 0.3985  6 Sc 2.75-2.79
9 As 0.0000 0.5000 0.0000  2 Tb 2.79, 4 Sc 2.79
10 As 0.3937 0.8937 0.7875  4 Sc 2.73-2.79, 2 Tb 2.87